Entry 1:
A relaxed Rb2ZnHg crystal. Source: Alexandria, functional PBE.

Cell lengths 12.7731, 12.7731, 12.7731 Å; angles 20.99, 20.99, 20.99 degrees
Closest atoms and distances in Å follow each position.
Fractional positions:
Rb 0.1001 0.1001 0.1001  3 Hg 3.66, 1 Zn 3.75
Rb 0.8999 0.8999 0.8999  3 Hg 3.66, 1 Zn 3.75
Zn 0.0000 0.0000 0.0000  2 Rb 3.75
Hg 0.5000 0.5000 0.5000  6 Rb 3.66

**Calculated volume**: 58.537 Å³ per atom
**Formation energy**: 202 meV per atom
**Density**: 3.1 g/cm3
**D(E_F)**: 1.089 states/eV/atom
**Space-group type**: R-3m (166)

=====

Entry 2:
A relaxed Cu4ReHg crystal. Source: Alexandria, functional PBE.

Cell lengths 4.8992, 4.8992, 4.8992 Å; angles 60.00, 60.00, 60.00 degrees
Closest atoms and distances in Å follow each position.
Fractional positions:
Cu 0.3757 0.3757 0.3757  6 Cu 2.44-2.46
Cu 0.3757 0.3757 0.8728  6 Cu 2.44-2.46
Cu 0.3757 0.8728 0.3757  6 Cu 2.44-2.46
Cu 0.8728 0.3757 0.3757  6 Cu 2.44-2.46
Re 0.7500 0.7500 0.7500  12 Cu 2.87, 4 Hg 3.00
Hg 0.0000 0.0000 0.0000  12 Cu 2.87, 4 Re 3.00

**Calculated volume**: 13.858 Å³ per atom
**Formation energy**: 491 meV per atom
**Density**: 12.8 g/cm3
**D(E_F)**: 0.710 states/eV/atom
**Space-group type**: F-43m (216)

=====

Entry 3:
A relaxed GdDyBeCu crystal. Source: Alexandria, functional PBE.

Cell lengths 4.8948, 4.8948, 4.8948 Å; angles 60.00, 60.00, 60.00 degrees
Closest atoms and distances in Å follow each position.
Fractional positions:
Gd 0.0000 0.0000 0.0000  4 Be 3.00, 4 Cu 3.00
Dy 0.5000 0.5000 0.5000  4 Be 3.00, 4 Cu 3.00
Be 0.7500 0.7500 0.7500  4 Gd 3.00, 4 Dy 3.00
Cu 0.2500 0.2500 0.2500  4 Gd 3.00, 4 Dy 3.00

**Calculated volume**: 20.731 Å³ per atom
**Formation energy**: -46 meV per atom
**Density**: 7.9 g/cm3
**D(E_F)**: 0.665 states/eV/atom
**Space-group type**: F-43m (216)

=====

Entry 4:
A relaxed ZrMnIn2 crystal. Source: Alexandria, functional PBE.

Cell lengths 10.0665, 10.0665, 10.0665 Å; angles 18.24, 18.24, 18.24 degrees
Closest atoms and distances in Å follow each position.
Fractional positions:
Zr 0.0000 0.0000 0.0000  3 Mn 2.91, 6 Zr 3.19, 3 In 3.19
Mn 0.7426 0.7426 0.7426  3 Zr 2.91, 3 In 2.95, 6 Mn 3.19
In 0.2455 0.2455 0.2455  9 In 3.19-3.29, 3 Zr 3.19
In 0.4868 0.4868 0.4868  3 Mn 2.95, 9 In 3.19-3.29

**Calculated volume**: 21.823 Å³ per atom
**Formation energy**: 157 meV per atom
**Density**: 7.1 g/cm3
**D(E_F)**: 0.805 states/eV/atom
**Space-group type**: R3m (160)

=====

Entry 5:
A relaxed KPrBiO3 crystal. Source: Alexandria, functional PBE.

Cell lengths 7.1663, 3.6398, 10.9706 Å; angles 90.00, 99.71, 90.00 degrees
Closest atoms and distances in Å follow each position.
Fractional positions:
K 0.2388 0.2500 0.2192  5 O 2.65-2.94
K 0.7612 0.7500 0.7808  5 O 2.65-2.94
Pr 0.3328 0.2500 0.8884  6 O 2.38-2.48
Pr 0.6672 0.7500 0.1116  6 O 2.38-2.48
Bi 0.1381 0.7500 0.6094  3 O 2.15-2.38
Bi 0.8619 0.2500 0.3906  3 O 2.15-2.38
O 0.0463 0.2500 0.7258  2 Bi 2.38, 1 Pr 2.48
O 0.3354 0.7500 0.0292  3 Pr 2.38-2.40
O 0.3867 0.7500 0.7492  1 Bi 2.15
O 0.6133 0.2500 0.2508  1 Bi 2.15
O 0.6646 0.2500 0.9708  3 Pr 2.38-2.40
O 0.9537 0.7500 0.2742  2 Bi 2.38, 1 Pr 2.48

**Calculated volume**: 23.505 Å³ per atom
**Density**: 5.1 g/cm3
**D(E_F)**: 0.305 states/eV/atom
**Space-group type**: P2_1/m (11)
**Formation energy without anion corrections**: -1.92 eV per atom

=====

Entry 6:
A relaxed MgCo2Ni crystal. Source: Alexandria, functional PBE.

Cell lengths 4.5826, 4.5826, 4.3674 Å; angles 102.14, 102.14, 33.38 degrees
Closest atoms and distances in Å follow each position.
Fractional positions:
Mg 0.0000 0.0000 0.0000  4 Ni 2.55, 6 Co 2.61-2.68, 2 Mg 2.63
Co 0.2384 0.2384 0.7312  6 Co 2.46-2.66, 3 Ni 2.49-2.70, 3 Mg 2.61-2.68
Co 0.7616 0.7616 0.2688  6 Co 2.46-2.66, 3 Ni 2.49-2.70, 3 Mg 2.61-2.68
Ni 0.5000 0.5000 0.5000  6 Co 2.49-2.70, 4 Mg 2.55, 2 Ni 2.63

**Calculated volume**: 12.307 Å³ per atom
**Formation energy**: 92 meV per atom
**Density**: 6.8 g/cm3
**D(E_F)**: 1.095 states/eV/atom
**Space-group type**: C2/m (12)